1.
A plane-wave DFT calculation with PBE-GGA was carried out for a geometry-optimized La3Ho2Tm7 structure.

Cell: 5.958 5.673 12.409 Å, 90.00 95.83 90.00°
Sites, in units of the cell vectors:
La1 0.000 0.000 0.000
La2 0.487 0.500 0.323
La3 0.513 0.500 0.677
Ho1 0.142 0.000 0.293
Ho2 0.858 0.000 0.707
Tm1 0.035 0.500 0.830
Tm2 0.275 0.000 0.560
Tm3 0.408 0.000 0.838
Tm4 0.500 0.500 0.000
Tm5 0.592 0.000 0.162
Tm6 0.725 0.000 0.440
Tm7 0.965 0.500 0.170

Summary:
Crystal system: monoclinic
Energy relative to the elements in eV/atom: 0.2985
Calculated total energy in eV/atom: -4.305
Magnetic moment in μB/f.u.: 0.0

2.
A plane-wave DFT calculation with PBE-GGA was carried out for a geometry-optimized Pm3Ga7Rh4 structure.

Cell: 8.169 8.169 9.356 Å, 123.00 123.00 30.56°
Sites, in units of the cell vectors:
Pm1 0.000 0.000 0.000
Pm2 0.308 0.308 0.300
Pm3 0.692 0.692 0.700
Ga1 0.000 0.000 0.500
Ga2 0.155 0.155 0.426
Ga3 0.319 0.319 0.969
Ga4 0.499 0.499 0.713
Ga5 0.501 0.501 0.287
Ga6 0.681 0.681 0.031
Ga7 0.845 0.845 0.574
Rh1 0.116 0.116 0.843
Rh2 0.340 0.340 0.713
Rh3 0.660 0.660 0.287
Rh4 0.884 0.884 0.157

Summary:
Crystal system: monoclinic
Energy relative to the elements in eV/atom: -0.7369
Calculated total energy in eV/atom: -5.369
Magnetic moment in μB/f.u.: 0.0

3.
A plane-wave DFT calculation with PBE-GGA was carried out for a geometry-optimized HfAgPd2 structure.

Cell: 6.504 6.504 6.504 Å, 90.00 90.00 90.00°
Sites, in units of the cell vectors:
Hf1 0.000 0.000 0.000
Hf2 0.000 0.500 0.500
Hf3 0.500 0.000 0.500
Hf4 0.500 0.500 0.000
Ag1 0.000 0.000 0.500
Ag2 0.000 0.500 0.000
Ag3 0.500 0.000 0.000
Ag4 0.500 0.500 0.500
Pd1 0.250 0.250 0.250
Pd2 0.250 0.250 0.750
Pd3 0.250 0.750 0.250
Pd4 0.250 0.750 0.750
Pd5 0.750 0.250 0.250
Pd6 0.750 0.250 0.750
Pd7 0.750 0.750 0.250
Pd8 0.750 0.750 0.750

Summary:
Crystal system: cubic
Energy relative to the elements in eV/atom: -0.5080
Calculated total energy in eV/atom: -6.306
Magnetic moment in μB/f.u.: 0.0
Relative energy among the computed polymorphs in meV per atom: 42

4.
A plane-wave DFT calculation with PBE-GGA was carried out for a geometry-optimized PaCo2Ge structure.

Cell: 4.115 4.115 12.850 Å, 90.00 90.00 120.00°
Sites, in units of the cell vectors:
Pa1 0.000 0.000 0.000
Pa2 0.333 0.667 0.667
Pa3 0.667 0.333 0.333
Co1 0.000 0.000 0.211
Co2 0.000 0.000 0.789
Co3 0.333 0.667 0.456
Co4 0.333 0.667 0.877
Co5 0.667 0.333 0.123
Co6 0.667 0.333 0.544
Ge1 0.000 0.000 0.500
Ge2 0.333 0.667 0.167
Ge3 0.667 0.333 0.833

Summary:
Crystal system: trigonal
Energy relative to the elements in eV/atom: -0.4624
Calculated total energy in eV/atom: -7.544
Magnetic moment in μB/f.u.: 0.0
Relative energy among the computed polymorphs in meV per atom: 56

5.
A plane-wave DFT calculation with PBE-GGA was carried out for a geometry-optimized Th2Si3Ir6 structure.

Cell: 7.155 7.155 4.379 Å, 90.00 90.00 120.00°
Sites, in units of the cell vectors:
Th1 0.333 0.667 0.000
Th2 0.667 0.333 0.000
Si1 0.000 0.389 0.500
Si2 0.389 0.000 0.500
Si3 0.611 0.611 0.500
Ir1 0.000 0.224 0.000
Ir2 0.000 0.729 0.500
Ir3 0.224 0.000 0.000
Ir4 0.271 0.271 0.500
Ir5 0.729 0.000 0.500
Ir6 0.776 0.776 0.000

Summary:
Crystal system: hexagonal
Calculated total energy in eV/atom: -8.468
Magnetic moment in μB/f.u.: 0.0

6.
A plane-wave DFT calculation with PBE-GGA was carried out for a geometry-optimized Ac2Nd7Dy4 structure.

Cell: 6.341 6.341 13.365 Å, 90.00 90.00 120.00°
Sites, in units of the cell vectors:
Ac1 0.333 0.667 0.000
Ac2 0.667 0.333 0.000
Nd1 0.000 0.000 0.000
Nd2 0.000 0.371 0.771
Nd3 0.000 0.629 0.229
Nd4 0.371 0.000 0.771
Nd5 0.371 0.371 0.229
Nd6 0.629 0.000 0.229
Nd7 0.629 0.629 0.771
Dy1 0.000 0.000 0.394
Dy2 0.000 0.000 0.606
Dy3 0.333 0.667 0.500
Dy4 0.667 0.333 0.500

Summary:
Crystal system: trigonal
Energy relative to the elements in eV/atom: 0.1987
Calculated total energy in eV/atom: -4.417
Magnetic moment in μB/f.u.: 0.0

7.
A plane-wave DFT calculation with PBE-GGA was carried out for a geometry-optimized Ca20Cd3Ga9 structure.

Cell: 8.060 8.060 14.902 Å, 90.00 90.00 90.00°
Sites, in units of the cell vectors:
Ca1 0.000 0.000 0.244
Ca2 0.000 0.000 0.756
Ca3 0.172 0.328 0.611
Ca4 0.172 0.672 0.389
Ca5 0.181 0.335 0.894
Ca6 0.181 0.665 0.106
Ca7 0.328 0.172 0.389
Ca8 0.328 0.828 0.611
Ca9 0.335 0.181 0.106
Ca10 0.335 0.819 0.894
Ca11 0.500 0.500 0.248
Ca12 0.500 0.500 0.752
Ca13 0.665 0.181 0.894
Ca14 0.665 0.819 0.106
Ca15 0.672 0.172 0.611
Ca16 0.672 0.828 0.389
Ca17 0.819 0.335 0.106
Ca18 0.819 0.665 0.894
Ca19 0.828 0.328 0.389
Ca20 0.828 0.672 0.611
Cd1 0.000 0.000 0.000
Cd2 0.000 0.000 0.500
Cd3 0.500 0.500 0.500
Ga1 0.113 0.385 0.248
Ga2 0.113 0.615 0.752
Ga3 0.385 0.113 0.752
Ga4 0.385 0.887 0.248
Ga5 0.500 0.500 0.000
Ga6 0.615 0.113 0.248
Ga7 0.615 0.887 0.752
Ga8 0.887 0.385 0.752
Ga9 0.887 0.615 0.248

Summary:
Crystal system: tetragonal
Energy relative to the elements in eV/atom: -0.3612
Calculated total energy in eV/atom: -2.549
Magnetic moment in μB/f.u.: 0.0

8.
A plane-wave DFT calculation with PBE-GGA was carried out for a geometry-optimized Tl2CdAs2 structure.

Cell: 8.999 8.999 3.245 Å, 90.00 90.00 90.00°
Sites, in units of the cell vectors:
Tl1 0.140 0.360 0.000
Tl2 0.360 0.860 0.000
Tl3 0.640 0.140 0.000
Tl4 0.860 0.640 0.000
Cd1 0.000 0.000 0.000
Cd2 0.500 0.500 0.000
As1 0.160 0.660 0.500
As2 0.340 0.160 0.500
As3 0.660 0.840 0.500
As4 0.840 0.340 0.500

Summary:
Crystal system: tetragonal
Energy relative to the elements in eV/atom: 0.3069
Calculated total energy in eV/atom: -2.682
Magnetic moment in μB/f.u.: 0.0
Relative energy among the computed polymorphs in meV per atom: 288

9.
A plane-wave DFT calculation with PBE-GGA was carried out for a geometry-optimized La2CuAu structure.

Cell: 4.000 4.718 5.969 Å, 90.00 107.59 90.00°
Sites, in units of the cell vectors:
La1 0.000 0.000 0.000
La2 0.256 0.500 0.550
Cu1 0.702 0.000 0.428
Au1 0.557 0.500 0.124

Summary:
Crystal system: monoclinic
Energy relative to the elements in eV/atom: -0.4889
Calculated total energy in eV/atom: -4.796
Magnetic moment in μB/f.u.: 0.0

10.
A plane-wave DFT calculation with PBE-GGA was carried out for a geometry-optimized Sr8Ca structure.

Cell: 10.279 10.279 10.279 Å, 93.00 93.00 153.55°
Sites, in units of the cell vectors:
Sr1 0.000 0.333 0.333
Sr2 0.000 0.667 0.667
Sr3 0.333 0.000 0.333
Sr4 0.337 0.337 0.673
Sr5 0.337 0.663 0.000
Sr6 0.663 0.337 0.000
Sr7 0.663 0.663 0.327
Sr8 0.667 0.000 0.667
Ca1 0.000 0.000 0.000

Summary:
Crystal system: tetragonal
Energy relative to the elements in eV/atom: 0.0116
Calculated total energy in eV/atom: -1.706
Magnetic moment in μB/f.u.: 0.0
Relative energy among the computed polymorphs in meV per atom: 8

11.
A plane-wave DFT calculation with PBE-GGA was carried out for a geometry-optimized NdEr2S structure.

Cell: 3.629 3.629 30.421 Å, 90.00 90.00 120.00°
Sites, in units of the cell vectors:
Nd1 0.000 0.000 0.000
Nd2 0.333 0.667 0.667
Nd3 0.667 0.333 0.333
Er1 0.000 0.000 0.113
Er2 0.000 0.000 0.887
Er3 0.333 0.667 0.554
Er4 0.333 0.667 0.780
Er5 0.667 0.333 0.220
Er6 0.667 0.333 0.446
S1 0.000 0.000 0.500
S2 0.333 0.667 0.167
S3 0.667 0.333 0.833

Summary:
Crystal system: trigonal
Calculated total energy in eV/atom: -5.253
Magnetic moment in μB/f.u.: 0.0
Relative energy among the computed polymorphs in meV per atom: 188

12.
A plane-wave DFT calculation with PBE-GGA was carried out for a geometry-optimized BaTm2Ru structure.

Cell: 3.456 3.456 9.952 Å, 90.00 90.00 90.00°
Sites, in units of the cell vectors:
Ba1 0.000 0.000 0.000
Tm1 0.500 0.500 0.340
Tm2 0.500 0.500 0.660
Ru1 0.000 0.000 0.500

Summary:
Crystal system: tetragonal
Energy relative to the elements in eV/atom: -0.1876
Calculated total energy in eV/atom: -5.223
Magnetic moment in μB/f.u.: 0.0

What is the magnetic moment in the seventh record? 0.0 μB/f.u.

Copy entry 11 word for word.
A plane-wave DFT calculation with PBE-GGA was carried out for a geometry-optimized NdEr2S structure.

Cell: 3.629 3.629 30.421 Å, 90.00 90.00 120.00°
Sites, in units of the cell vectors:
Nd1 0.000 0.000 0.000
Nd2 0.333 0.667 0.667
Nd3 0.667 0.333 0.333
Er1 0.000 0.000 0.113
Er2 0.000 0.000 0.887
Er3 0.333 0.667 0.554
Er4 0.333 0.667 0.780
Er5 0.667 0.333 0.220
Er6 0.667 0.333 0.446
S1 0.000 0.000 0.500
S2 0.333 0.667 0.167
S3 0.667 0.333 0.833

Summary:
Crystal system: trigonal
Calculated total energy in eV/atom: -5.253
Magnetic moment in μB/f.u.: 0.0
Relative energy among the computed polymorphs in meV per atom: 188